(1)
Entry from the Alexandria database: a relaxed BeGa2Tc2 crystal (PBE).

The calculated volume comes out at 14.4 Å³ per atom. As for the energy relative to the elements: -26 kJ/mol of formula units. For the uncorrected energy, the calculation gives -61.57 eV for the cell shown. The calculation puts the density at 7.94 g cm⁻³.

The space group is P4/mbm (No. 127) and the conventional cell measures 6.0118, 6.0118 and 3.9877 Å, with angles of 90.00, 90.00 and 90.00 degrees. Symmetry generates all atoms from Be at (0.0000, 0.0000, 0.0000), Ga at (0.1618, 0.3382, 0.5000) and Tc at (0.1510, 0.6510, 0.0000).

***

(2)
Entry from the Alexandria database: a relaxed BeZnGa2Tc crystal (PBE).

The calculated volume comes out at 17.7 Å³ per atom. As for the energy relative to the elements: 497 kJ/mol of formula units. For the uncorrected energy, the calculation gives -16.26 eV for the cell shown. The calculation puts the density at 5.86 g cm⁻³.

The space group is P4/mmm (No. 123) and the conventional cell measures 4.6386, 4.6386 and 4.1088 Å, with angles of 90.00, 90.00 and 90.00 degrees. Symmetry generates all atoms from Be at (0.0000, 0.0000, 0.0000), Zn at (0.0000, 0.0000, 0.5000), Ga at (0.0000, 0.5000, 0.5000) and Tc at (0.5000, 0.5000, 0.0000).

***

(3)
Entry from the Alexandria database: a relaxed BeZn2GaTc crystal (PBE).

The calculated volume comes out at 22.1 Å³ per atom. As for the energy relative to the elements: 514 kJ/mol of formula units. For the uncorrected energy, the calculation gives -14.34 eV for the cell shown. The calculation puts the density at 4.63 g cm⁻³.

The space group is P4/mmm (No. 123) and the conventional cell measures 4.8205, 4.8205 and 4.7478 Å, with angles of 90.00, 90.00 and 90.00 degrees. Symmetry generates all atoms from Be at (0.0000, 0.0000, 0.0000), Zn at (0.0000, 0.5000, 0.5000), Ga at (0.5000, 0.5000, 0.0000) and Tc at (0.5000, 0.5000, 0.5000).

***

(4)
Entry from the Alexandria database: a relaxed BeGa3Te crystal (PBE).

The calculated volume comes out at 20.4 Å³ per atom. The raw formation energy is 0.072 eV/atom. For the uncorrected energy, the calculation gives -15.59 eV for the cell shown. The calculation puts the density at 5.64 g cm⁻³.

The space group is Pm-3m (No. 221) and the conventional cell measures 4.6699, 4.6699 and 4.6699 Å, with angles of 90.00, 90.00 and 90.00 degrees. Symmetry generates all atoms from Be at (0.0000, 0.0000, 0.0000), Ga at (0.0000, 0.0000, 0.5000) and Te at (0.5000, 0.5000, 0.5000).

***

(5)
Entry from the Alexandria database: a relaxed BeGaTe2 crystal (PBE).

The calculated volume comes out at 22.3 Å³ per atom. The raw formation energy is 0.434 eV/atom. For the uncorrected energy, the calculation gives -45.20 eV for the cell shown. The calculation puts the density at 6.23 g cm⁻³.

The space group is Fm-3m (No. 225) and the conventional cell measures 7.0879, 7.0879 and 7.0879 Å, with angles of 90.00, 90.00 and 90.00 degrees. Symmetry generates all atoms from Be at (0.0000, 0.0000, 0.0000), Ga at (0.0000, 0.0000, 0.5000) and Te at (0.2500, 0.2500, 0.2500).

***

(6)
Entry from the Alexandria database: a relaxed BeGa3Te crystal (PBE).

The calculated volume comes out at 36.3 Å³ per atom. The raw formation energy is 1.103 eV/atom. For the uncorrected energy, the calculation gives -10.43 eV for the cell shown. The calculation puts the density at 3.16 g cm⁻³.

The space group is Pm-3m (No. 221) and the conventional cell measures 5.6610, 5.6610 and 5.6610 Å, with angles of 90.00, 90.00 and 90.00 degrees. Symmetry generates all atoms from Be at (0.0000, 0.0000, 0.0000), Ga at (0.0000, 0.5000, 0.5000) and Te at (0.5000, 0.5000, 0.5000).